DFT (GGA-PBE) results for a relaxed Cs2HfTe8 crystal.

Energy   -3.818 eV/atom
DOS(E_F)   0.56 states/eV/atom
Space-group type   No. 12
Energy relative to the elements, uncorrected   -5.2 eV/f.u.

Unit cell a=9.2647 b=9.2647 c=7.2629 alpha=90.36 beta=90.36 gamma=51.24
Closest atoms and distances in Å follow each position.
Fractional positions:
Cs: 0.1919 0.1919 0.3382  6 Te 3.85-4.03
Cs: 0.8081 0.8081 0.6618  6 Te 3.85-4.03
Hf: 0.5000 0.5000 0.0000  6 Te 2.89-2.92
Te: 0.0470 0.0470 0.7476  2 Te 2.80
Te: 0.1421 0.6042 0.0888  1 Te 2.80, 1 Hf 2.89
Te: 0.3958 0.8579 0.9112  1 Te 2.80, 1 Hf 2.89
Te: 0.4362 0.4362 0.6248  1 Te 2.81, 1 Hf 2.92
Te: 0.5638 0.5638 0.3752  1 Te 2.81, 1 Hf 2.92
Te: 0.6042 0.1421 0.0888  1 Te 2.80, 1 Hf 2.89
Te: 0.8579 0.3958 0.9112  1 Te 2.80, 1 Hf 2.89
Te: 0.9530 0.9530 0.2524  2 Te 2.80